VASP calculation (SCAN) on a crystal of ZrBe4Os relaxed with PBEsol.

POSCAR file:
```
ZrBe4Os
1.0
-1.4475 2.5954 -3.4108
-4.0065 -0.8287 -1.9304
-3.4512 2.8545 0.6368
Be Os Zr
4 1 1
direct
0.3766 0.8703 0.3766
0.3766 0.3766 0.8703
0.3766 0.3766 0.3766
0.8703 0.3766 0.3766
0.7500 0.7500 0.7500
0.0000 0.0000 0.0000
```

The value obtained for the formation energy from the elements is -499 meV/atom. The crystal system is cubic.

VASP calculation (SCAN) on a crystal of SrPt2 relaxed with PBEsol.

POSCAR file:
```
SrPt2
1.0
-1.6550 1.2381 3.1296
-3.3539 -0.8972 -1.4187
0.3652 -4.4611 1.9580
Pt Sr
2 1
direct
0.0000 0.5000 0.5000
0.5000 0.0000 0.5000
0.0000 0.0000 0.0000
```

The value obtained for the formation energy from the elements is -602 meV/atom. The crystal system is tetragonal.

VASP calculation (SCAN) on a crystal of NaSbMoO5 relaxed with PBEsol.

POSCAR file:
```
NaSbMoO5
1.0
-1.7828 1.2266 5.1986
1.4878 -8.3919 0.5862
10.2331 2.0260 3.0314
O Sb Mo Na
20 4 4 4
direct
0.8292 0.4314 0.3126
0.6708 0.5686 0.8126
0.2455 0.2488 0.9608
0.5552 0.8851 0.8268
0.0691 0.8382 0.2330
0.2678 0.6181 0.9569
0.4448 0.1149 0.1732
0.7678 0.6181 0.5431
0.7322 0.3819 0.0431
0.9448 0.1149 0.3268
0.2322 0.3819 0.4569
0.9309 0.1618 0.7670
0.7455 0.2488 0.5392
0.1708 0.5686 0.6874
0.3292 0.4314 0.1874
0.4309 0.1618 0.7330
0.7545 0.7512 0.0392
0.2545 0.7512 0.4608
0.5691 0.8382 0.2670
0.0552 0.8851 0.6732
0.6679 0.0437 0.6615
0.8321 0.9563 0.1615
0.3321 0.9563 0.3385
0.1679 0.0437 0.8385
0.9408 0.2988 0.4067
0.0592 0.7012 0.5933
0.4408 0.2988 0.0933
0.5592 0.7012 0.9067
0.0301 0.5855 0.1402
0.4699 0.4145 0.6402
0.5301 0.5855 0.3598
0.9699 0.4145 0.8598
```

For the uncorrected formation energy, the calculation gives -1.969 eV per atom. The crystal system is monoclinic.

VASP calculation (SCAN) on a crystal of Ba3SrRh relaxed with PBEsol.

POSCAR file:
```
Ba3SrRh
1.0
-4.4802 -1.7500 3.7532
-3.3662 -1.6816 -4.8023
2.4120 -5.5974 0.2693
Sr Ba Rh
1 3 1
direct
0.5000 0.5000 0.5000
0.0000 0.0000 0.5000
0.0000 0.5000 0.0000
0.5000 0.0000 0.0000
0.0000 0.0000 0.0000
```

The value obtained for the formation energy from the elements is -94 meV/atom. The crystal system is cubic.

VASP calculation (SCAN) on a crystal of Sc5Al relaxed with PBEsol.

POSCAR file:
```
Sc5Al
1.0
-1.6810 1.9453 -2.0150
-2.7572 -3.9181 -1.4824
-4.6431 0.5861 7.0870
Al Sc
1 5
direct
0.0027 0.0000 0.0054
0.1090 0.5000 0.2179
0.7757 0.5000 0.5513
0.4513 0.5000 0.9026
0.6604 0.0000 0.3207
0.3343 0.0000 0.6687
```

The value obtained for the formation energy from the elements is -120 meV/atom. The crystal system is orthorhombic. The energy above the most stable polymorph in this dataset is 0.009 eV/atom.

VASP calculation (SCAN) on a crystal of SmF3 relaxed with PBEsol.

POSCAR file:
```
SmF3
1.0
-1.1907 3.1432 -2.7834
-5.9028 -2.8610 -0.7057
-2.4703 3.7825 5.3282
Sm F
4 12
direct
0.4337 0.8684 0.2500
0.5663 0.1316 0.7500
0.0663 0.3684 0.2500
0.9337 0.6316 0.7500
0.0764 0.9815 0.7500
0.1095 0.6647 0.4356
0.6095 0.8353 0.5644
0.3905 0.1647 0.4356
0.4236 0.4815 0.7500
0.8905 0.3353 0.5644
0.1095 0.6647 0.0644
0.8905 0.3353 0.9356
0.5764 0.5185 0.2500
0.3905 0.1647 0.0644
0.9236 0.0185 0.2500
0.6095 0.8353 0.9356
```

For the uncorrected formation energy, the calculation gives -4.446 eV per atom. The crystal system is orthorhombic.

VASP calculation (SCAN) on a crystal of AgP3 relaxed with PBEsol.

POSCAR file:
```
AgP3
1.0
3.0767 0.0000 0.0000
0.0000 6.8956 -0.6956
0.0000 -2.8449 6.3198
P Ag
6 2
direct
0.2500 0.3034 0.1517
0.7500 0.1520 0.8480
0.7500 0.1517 0.3034
0.2500 0.8483 0.6966
0.7500 0.6966 0.8483
0.2500 0.8480 0.1520
0.7500 0.6664 0.3336
0.2500 0.3336 0.6664
```

The value obtained for the formation energy from the elements is 406 meV/atom. The crystal system is hexagonal.

VASP calculation (SCAN) on a crystal of Sc2TaCuCl relaxed with PBEsol.

POSCAR file:
```
Sc2TaCuCl
1.0
-3.9840 -2.2383 -0.1896
2.1890 -4.0899 2.2850
-1.2878 1.8997 4.6339
Cl Sc Cu Ta
1 2 1 1
direct
0.5000 0.0000 0.0000
0.0000 0.5000 0.0000
0.0000 0.0000 0.5000
0.5000 0.5000 0.5000
0.0000 0.0000 0.0000
```

For the uncorrected formation energy, the calculation gives 0.749 eV per atom. The crystal system is tetragonal.

no.,size of the total moment (μB/atom),uncorrected energy (eV for the cell shown)
1,0.00,-123.0
2,0.00,-164.5
3,0.00,-493.1
4,0.04,-175.2
5,0.19,-79.7
6,0.00,-291.4
7,0.00,-121.9
8,0.00,-114.5